Computed, not measured: a relaxed SrMgV2O crystal at the PBE+U level of DFT. Values from VASP.

total DFT energy (no corrections): -4.7321 eV per atom
crystal system: tetragonal
space group: P4/mmm

Quantum ESPRESSO input file:
```
&SYSTEM
  ibrav = 0, nat = 5, ntyp = 4
/
ATOMIC_SPECIES
Sr 87.62 Sr.upf
Mg 24.30 Mg.upf
V 50.94 V.upf
O 16.00 O.upf
ATOMIC_POSITIONS crystal
Sr 0.000 0.000 0.000
Mg 0.500 0.500 0.000
V 0.000 0.500 0.500
V 0.500 0.000 0.500
O 0.000 0.000 0.500
CELL_PARAMETERS angstrom
4.481 0.000 0.000
0.000 4.481 0.000
0.000 0.000 5.021
```